Computed, not measured: a relaxed Zn3Fe12Tc5 crystal at the PBE-GGA level of DFT.

Structure (CIF):
```
data_Zn3Fe12Tc5
_cell_length_a 13.539
_cell_length_b 13.539
_cell_length_c 13.539
_cell_angle_alpha 90.00
_cell_angle_beta 90.00
_cell_angle_gamma 90.00
_space_group_name_H-M_alt 'I a -3 d'
_space_group_IT_number 230
_space_group_name_Hall '-I 4bd 2c 3'
loop_
_atom_site_label
_atom_site_fract_x
_atom_site_fract_y
_atom_site_fract_z
Zn1 0.000 0.250 0.125
Fe1 0.010 0.079 0.654
Tc1 0.000 0.000 0.000
Tc2 0.000 0.250 0.375
```

Output
Its final energy is -6.817 eV per atom.